Entry 1:
{
  "formula": "CaAc2Zn3Ag12",
  "functional": "PBE-GGA",
  "state": "optimized geometry",
  "lattice": [[4.375, 2.526, 6.970], [-4.375, 2.526, 6.970], [0.000, -5.051, 6.970]],
  "species": ["Ca", "Ac", "Ac", "Zn", "Zn", "Zn", "Ag", "Ag", "Ag", "Ag", "Ag", "Ag", "Ag", "Ag", "Ag", "Ag", "Ag", "Ag"],
  "fractional_positions": [[0.000, 0.000, 0.000], [0.398, 0.398, 0.398], [0.602, 0.602, 0.602], [0.000, 0.000, 0.500], [0.000, 0.500, 0.000], [0.500, 0.000, 0.000], [0.119, 0.649, 0.649], [0.147, 0.147, 0.576], [0.147, 0.576, 0.147], [0.351, 0.351, 0.881], [0.351, 0.881, 0.351], [0.424, 0.853, 0.853], [0.576, 0.147, 0.147], [0.649, 0.119, 0.649], [0.649, 0.649, 0.119], [0.853, 0.424, 0.853], [0.853, 0.853, 0.424], [0.881, 0.351, 0.351]],
  "e_form_ev_per_atom": 0.1728,
  "magnetic_moment_mub_per_fu": 0.00,
  "total_energy_ev_per_cell": -45.14
}

***

Entry 2:
{
  "formula": "Tl2SiAsS4",
  "functional": "PBE-GGA",
  "state": "optimized geometry",
  "lattice": [[5.724, 0.000, 0.000], [1.588, 6.179, 0.000], [0.420, 2.596, 6.261]],
  "species": ["Tl", "Tl", "Si", "As", "S", "S", "S", "S"],
  "fractional_positions": [[0.000, 0.000, 0.000], [0.277, 0.728, 0.597], [0.552, 0.230, 0.414], [0.004, 0.462, 0.066], [0.152, 0.331, 0.405], [0.582, 0.237, 0.718], [0.606, 0.532, 0.134], [0.708, 0.913, 0.385]],
  "e_form_raw_ev_per_atom": -0.369,
  "magnetic_moment_mub_per_fu": 0.00,
  "total_energy_ev_per_cell": -34.27
}

***

Entry 3:
{
  "formula": "Cr2CuBr",
  "functional": "PBE-GGA",
  "state": "optimized geometry",
  "lattice": [[10.009, 0.000, 0.000], [0.000, 3.218, 0.000], [-0.997, 0.000, 4.363]],
  "species": ["Cr", "Cr", "Cr", "Cr", "Cu", "Cu", "Br", "Br"],
  "fractional_positions": [[0.000, 0.000, 0.000], [0.232, 0.000, 0.602], [0.500, 0.500, 0.000], [0.732, 0.500, 0.602], [0.229, 0.500, 0.078], [0.729, 0.000, 0.078], [0.477, 0.000, 0.495], [0.977, 0.500, 0.495]],
  "e_form_raw_ev_per_atom": 0.709,
  "magnetic_moment_mub_per_fu": 8.22,
  "e_above_lowest_polymorph_ev_per_fu": 1.43,
  "total_energy_ev_per_cell": -44.36
}

***

Entry 4:
{
  "formula": "Nd2InGe4Pt3",
  "functional": "PBE-GGA",
  "state": "optimized geometry",
  "lattice": [[4.337, 0.000, 0.000], [0.000, 4.337, 0.000], [0.000, 0.000, 10.749]],
  "species": ["Nd", "Nd", "In", "Ge", "Ge", "Ge", "Ge", "Pt", "Pt", "Pt"],
  "fractional_positions": [[0.000, 0.500, 0.240], [0.500, 0.000, 0.760], [0.000, 0.000, 0.500], [0.000, 0.000, 0.000], [0.000, 0.500, 0.651], [0.500, 0.000, 0.349], [0.500, 0.500, 0.000], [0.000, 0.500, 0.878], [0.500, 0.000, 0.122], [0.500, 0.500, 0.500]],
  "e_form_ev_per_atom": -0.8013,
  "magnetic_moment_mub_per_fu": 0.00,
  "total_energy_ev_per_cell": -56.88
}

***

Entry 5:
{
  "formula": "PaTi3Te",
  "functional": "PBE-GGA",
  "state": "optimized geometry",
  "lattice": [[9.184, 0.000, 0.000], [0.000, 3.537, 0.000], [0.000, 0.000, 12.479]],
  "species": ["Pa", "Pa", "Pa", "Pa", "Ti", "Ti", "Ti", "Ti", "Ti", "Ti", "Ti", "Ti", "Ti", "Ti", "Ti", "Ti", "Te", "Te", "Te", "Te"],
  "fractional_positions": [[0.124, 0.250, 0.004], [0.376, 0.750, 0.504], [0.624, 0.250, 0.496], [0.876, 0.750, 0.996], [0.085, 0.250, 0.590], [0.092, 0.750, 0.776], [0.152, 0.750, 0.202], [0.348, 0.250, 0.702], [0.408, 0.250, 0.276], [0.415, 0.750, 0.090], [0.585, 0.250, 0.910], [0.592, 0.750, 0.724], [0.652, 0.750, 0.298], [0.848, 0.250, 0.798], [0.908, 0.250, 0.224], [0.915, 0.750, 0.410], [0.140, 0.250, 0.374], [0.360, 0.750, 0.874], [0.640, 0.250, 0.126], [0.860, 0.750, 0.626]],
  "e_form_raw_ev_per_atom": -0.210,
  "magnetic_moment_mub_per_fu": 0.00,
  "total_energy_ev_per_cell": -149.48
}

***

Entry 6:
{
  "formula": "CoBRu",
  "functional": "PBE-GGA",
  "state": "optimized geometry",
  "lattice": [[6.179, 0.000, 0.000], [-3.089, 5.351, 0.000], [0.000, 0.000, 2.791]],
  "species": ["Co", "Co", "Co", "B", "B", "B", "Ru", "Ru", "Ru"],
  "fractional_positions": [[0.000, 0.600, 0.000], [0.400, 0.400, 0.000], [0.600, 0.000, 0.000], [0.000, 0.000, 0.000], [0.333, 0.667, 0.500], [0.667, 0.333, 0.500], [0.000, 0.264, 0.500], [0.264, 0.000, 0.500], [0.736, 0.736, 0.500]],
  "e_form_ev_per_atom": 0.0517,
  "magnetic_moment_mub_per_fu": 0.68,
  "total_energy_ev_per_cell": -68.71
}

***

Entry 7:
{
  "formula": "LaTaMoOs",
  "functional": "PBE-GGA",
  "state": "optimized geometry",
  "lattice": [[4.443, 0.000, 0.000], [-2.222, 3.848, 0.000], [0.000, 0.000, 16.561]],
  "species": ["La", "La", "La", "Ta", "Ta", "Ta", "Mo", "Mo", "Mo", "Os", "Os", "Os"],
  "fractional_positions": [[0.000, 0.000, 0.000], [0.333, 0.667, 0.667], [0.667, 0.333, 0.333], [0.000, 0.000, 0.202], [0.333, 0.667, 0.869], [0.667, 0.333, 0.535], [0.000, 0.000, 0.806], [0.333, 0.667, 0.473], [0.667, 0.333, 0.140], [0.000, 0.000, 0.488], [0.333, 0.667, 0.154], [0.667, 0.333, 0.821]],
  "e_form_ev_per_atom": 0.3172,
  "magnetic_moment_mub_per_fu": 0.00,
  "e_above_lowest_polymorph_ev_per_fu": 0.17,
  "total_energy_ev_per_cell": -112.72
}

***

Entry 8:
{
  "formula": "NaHg",
  "functional": "PBE-GGA",
  "state": "optimized geometry",
  "lattice": [[0.000, 4.711, 6.083], [4.072, 0.000, 6.083], [4.072, 4.711, 0.000]],
  "species": ["Na", "Na", "Na", "Na", "Hg", "Hg", "Hg", "Hg"],
  "fractional_positions": [[0.069, 0.681, 0.069], [0.319, 0.931, 0.319], [0.681, 0.069, 0.681], [0.931, 0.319, 0.931], [0.193, 0.557, 0.557], [0.443, 0.807, 0.807], [0.557, 0.193, 0.193], [0.807, 0.443, 0.443]],
  "e_form_ev_per_atom": -0.1674,
  "magnetic_moment_mub_per_fu": 0.00,
  "total_energy_ev_per_cell": -7.82
}

***

> Number 6 is which compound?

CoBRu